No. 1
The following is a DFT calculation (PBE-GGA) of Ac2Nd6Y3 after structural relaxation.

Lattice parameters (Å, degrees): 33.182 33.182 33.182 6.43 6.43 6.43
Positions (direct):
Ac  0.047  0.047  0.047
Ac  0.953  0.953  0.953
Nd  0.137  0.137  0.137
Nd  0.318  0.318  0.318
Nd  0.412  0.412  0.412
Nd  0.588  0.588  0.588
Nd  0.682  0.682  0.682
Nd  0.863  0.863  0.863
Y  0.225  0.225  0.225
Y  0.500  0.500  0.500
Y  0.775  0.775  0.775

Summary:
As for the space group: R-3m (166). Its density of states at the Fermi level is 1.39 states/eV per atom. Its formation energy from the elements is 0.034 eV per atom. The value obtained for the electronic total energy is -5.08 eV/atom.

No. 2
The following is a DFT calculation (PBE-GGA) of Ba3HgPb2 after structural relaxation.

Lattice parameters (Å, degrees): 6.176 18.630 4.114 90.00 90.00 90.00
Positions (direct):
Ba  0.000  0.000  0.000
Ba  0.000  0.332  0.000
Ba  0.000  0.668  0.000
Ba  0.500  0.168  0.000
Ba  0.500  0.500  0.000
Ba  0.500  0.832  0.000
Hg  0.000  0.500  0.500
Hg  0.500  0.000  0.500
Pb  0.000  0.160  0.500
Pb  0.000  0.840  0.500
Pb  0.500  0.340  0.500
Pb  0.500  0.660  0.500

Summary:
As for the space group: Cmmm (65). Its density of states at the Fermi level is 0.71 states/eV per atom. Its formation energy from the elements is -0.526 eV per atom. The value obtained for the electronic total energy is -2.77 eV/atom.

No. 3
The following is a DFT calculation (PBE-GGA) of Pm3Ho6Pu after structural relaxation.

Lattice parameters (Å, degrees): 6.857 6.857 6.857 91.38 91.38 91.38
Positions (direct):
Pm  0.000  0.000  0.000
Pm  0.252  0.252  0.252
Pm  0.514  0.514  0.514
Ho  0.052  0.407  0.724
Ho  0.216  0.893  0.560
Ho  0.407  0.724  0.052
Ho  0.560  0.216  0.893
Ho  0.724  0.052  0.407
Ho  0.893  0.560  0.216
Pu  0.754  0.754  0.754

Summary:
As for the space group: R3 (146). Its density of states at the Fermi level is 1.74 states/eV per atom. Its formation energy from the elements is 0.267 eV per atom. The value obtained for the electronic total energy is -5.34 eV/atom.

No. 4
The following is a DFT calculation (PBE-GGA) of Li8Mg6Pb after structural relaxation.

Lattice parameters (Å, degrees): 7.102 7.102 7.102 72.03 72.03 72.03
Positions (direct):
Li  0.047  0.383  0.860
Li  0.140  0.953  0.617
Li  0.234  0.234  0.234
Li  0.383  0.860  0.047
Li  0.617  0.140  0.953
Li  0.766  0.766  0.766
Li  0.860  0.047  0.383
Li  0.953  0.617  0.140
Mg  0.178  0.621  0.429
Mg  0.379  0.571  0.822
Mg  0.429  0.178  0.621
Mg  0.571  0.822  0.379
Mg  0.621  0.429  0.178
Mg  0.822  0.379  0.571
Pb  0.000  0.000  0.000

Summary:
As for the space group: R-3 (148). Its density of states at the Fermi level is 0.34 states/eV per atom. Its formation energy from the elements is -0.018 eV per atom. The value obtained for the electronic total energy is -1.92 eV/atom.

No. 5
The following is a DFT calculation (PBE-GGA) of LuHfRh2 after structural relaxation.

Lattice parameters (Å, degrees): 6.619 6.619 6.619 90.00 90.00 90.00
Positions (direct):
Lu  0.000  0.000  0.000
Lu  0.000  0.500  0.500
Lu  0.500  0.000  0.500
Lu  0.500  0.500  0.000
Hf  0.000  0.000  0.500
Hf  0.000  0.500  0.000
Hf  0.500  0.000  0.000
Hf  0.500  0.500  0.500
Rh  0.250  0.250  0.250
Rh  0.250  0.250  0.750
Rh  0.250  0.750  0.250
Rh  0.250  0.750  0.750
Rh  0.750  0.250  0.250
Rh  0.750  0.250  0.750
Rh  0.750  0.750  0.250
Rh  0.750  0.750  0.750

Summary:
As for the space group: Fm-3m (225). Its density of states at the Fermi level is 1.03 states/eV per atom. Its formation energy from the elements is -0.935 eV per atom. The value obtained for the electronic total energy is -8.23 eV/atom.

No. 6
The following is a DFT calculation (PBE-GGA) of NbCdCu2 after structural relaxation.

Lattice parameters (Å, degrees): 2.865 2.865 7.696 90.00 90.00 90.00
Positions (direct):
Nb  0.000  0.000  0.000
Cd  0.000  0.000  0.500
Cu  0.500  0.500  0.245
Cu  0.500  0.500  0.755

Summary:
As for the space group: P4/mmm (123). Its density of states at the Fermi level is 0.79 states/eV per atom. Its formation energy from the elements is 0.076 eV per atom. The value obtained for the electronic total energy is -4.72 eV/atom.

No. 7
The following is a DFT calculation (PBE-GGA) of TlInW2 after structural relaxation.

Lattice parameters (Å, degrees): 9.857 3.322 5.058 90.00 98.56 90.00
Positions (direct):
Tl  0.000  0.000  0.000
Tl  0.500  0.500  0.000
In  0.000  0.500  0.500
In  0.500  0.000  0.500
W  0.249  0.000  0.691
W  0.251  0.500  0.309
W  0.749  0.500  0.691
W  0.751  0.000  0.309

Summary:
As for the space group: C2/m (12). Its density of states at the Fermi level is 0.58 states/eV per atom. Its formation energy from the elements is 0.861 eV per atom. The value obtained for the electronic total energy is -6.89 eV/atom.

No. 8
The following is a DFT calculation (PBE-GGA) of YCd4Hg after structural relaxation.

Lattice parameters (Å, degrees): 5.908 5.908 5.908 60.00 60.00 60.00
Positions (direct):
Y  0.000  0.000  0.000
Cd  0.124  0.625  0.625
Cd  0.625  0.124  0.625
Cd  0.625  0.625  0.124
Cd  0.625  0.625  0.625
Hg  0.250  0.250  0.250

Summary:
As for the space group: F-43m (216). Its density of states at the Fermi level is 0.40 states/eV per atom. Its formation energy from the elements is -0.087 eV per atom. The value obtained for the electronic total energy is -1.82 eV/atom.